# TiAsI2

A geometry-optimized TiAsI2 structure (PBE-GGA, the Alexandria database).

**Formation energy from raw total energies**: 1.524 eV per formula unit
**Excess energy over the best structure of this formula in the dataset**: 580 meV per atom

Cell: 7.212 7.212 7.212 Å, 90.00 90.00 90.00°
Space group Fm-3m (No. 225)
One atom of each set of equivalent atoms:
Ti (0.000, 0.000, 0.000) x4
As (0.000, 0.000, 0.500) x4
I (0.250, 0.250, 0.250) x8



# TiAs2I

A geometry-optimized TiAs2I structure (PBE-GGA, the Alexandria database).

**Formation energy from raw total energies**: 0.492 eV per formula unit
**Excess energy over the best structure of this formula in the dataset**: 0 meV per atom

Cell: 5.133 5.133 17.265 Å, 90.00 90.00 90.00°
Space group I-42d (No. 122)
One atom of each set of equivalent atoms:
Ti (0.000, 0.000, 0.000) x4
As (0.011, 0.250, 0.125) x8
I (0.000, 0.000, 0.500) x4



# Ti2AsI

A geometry-optimized Ti2AsI structure (PBE-GGA, the Alexandria database).

**Formation energy from raw total energies**: -0.875 eV per formula unit

Cell: 6.648 6.648 6.648 Å, 90.00 90.00 90.00°
Space group Fm-3m (No. 225)
One atom of each set of equivalent atoms:
Ti (0.250, 0.250, 0.250) x8
As (0.000, 0.000, 0.000) x4
I (0.000, 0.000, 0.500) x4



# TiAs2I

A geometry-optimized TiAs2I structure (PBE-GGA, the Alexandria database).

**Formation energy from raw total energies**: 2.139 eV per formula unit
**Excess energy over the best structure of this formula in the dataset**: 412 meV per atom

Cell: 6.936 6.936 6.936 Å, 90.00 90.00 90.00°
Space group Fm-3m (No. 225)
One atom of each set of equivalent atoms:
Ti (0.000, 0.000, 0.000) x4
As (0.250, 0.250, 0.250) x8
I (0.000, 0.000, 0.500) x4



# TiTlAsI2

A geometry-optimized TiTlAsI2 structure (PBE-GGA, the Alexandria database).

**Formation energy from raw total energies**: 5.012 eV per formula unit
**Excess energy over the best structure of this formula in the dataset**: 30 meV per atom

Cell: 6.227 6.227 5.605 Å, 90.00 90.00 90.00°
Space group P4/mmm (No. 123)
One atom of each set of equivalent atoms:
Ti (0.000, 0.000, 0.000) x1
Tl (0.000, 0.000, 0.500) x1
As (0.500, 0.500, 0.000) x1
I (0.000, 0.500, 0.500) x2



# TiTlAsI2

A geometry-optimized TiTlAsI2 structure (PBE-GGA, the Alexandria database).

**Formation energy from raw total energies**: 4.860 eV per formula unit
**Excess energy over the best structure of this formula in the dataset**: 0 meV per atom

Cell: 6.036 6.036 5.329 Å, 90.00 90.00 90.00°
Space group P4/mmm (No. 123)
One atom of each set of equivalent atoms:
Ti (0.000, 0.000, 0.000) x1
Tl (0.500, 0.500, 0.500) x1
As (0.500, 0.500, 0.000) x1
I (0.000, 0.500, 0.500) x2



formation energy from raw total energies of number 1 (TiAsI2)?
1.524 eV per formula unit



Please write out number 3 again, unchanged.
# Ti2AsI

A geometry-optimized Ti2AsI structure (PBE-GGA, the Alexandria database).

**Formation energy from raw total energies**: -0.875 eV per formula unit

Cell: 6.648 6.648 6.648 Å, 90.00 90.00 90.00°
Space group Fm-3m (No. 225)
One atom of each set of equivalent atoms:
Ti (0.250, 0.250, 0.250) x8
As (0.000, 0.000, 0.000) x4
I (0.000, 0.000, 0.500) x4